w) # BaNd2NiO5

A relaxed BaNd2NiO5 crystal (GGA+U, Alexandria via LeMat-Bulk).

Calculated values
As for the space-group type: I4/mcm (140). The value obtained for the total magnetization is 1.961 μB/f.u.

Lattice parameters (Å, degrees): 6.777 6.777 7.579 116.56 116.56 90.00
Site moments in Bohr magnetons follow the coordinates.
Sites, in units of the cell vectors:
Ba 0.250 0.250 0.500  0.00
Ba 0.750 0.750 0.500  0.00
Nd 0.174 0.326 0.000  0.01
Nd 0.674 0.174 0.000  0.01
Nd 0.326 0.826 0.000  0.01
Nd 0.826 0.674 0.000  0.01
Ni 0.250 0.750 0.500  1.69
Ni 0.750 0.250 0.500  1.69
O 0.989 0.489 0.259  0.05
O 0.730 0.230 0.741  0.05
O 0.011 0.511 0.741  0.05
O 0.230 0.011 0.741  0.05
O 0.511 0.730 0.741  0.05
O 0.770 0.989 0.259  0.05
O 0.489 0.270 0.259  0.05
O 0.270 0.770 0.259  0.05
O 0.500 0.500 0.000  0.00
O 0.000 0.000 0.000  0.00

---

x) # BaNd2NiO5

A relaxed BaNd2NiO5 crystal (GGA+U, Alexandria via LeMat-Bulk).

Calculated values
As for the space-group type: Immm (71). The value obtained for the total magnetization is 2.000 μB/f.u.

Lattice parameters (Å, degrees): 3.863 5.986 6.895 115.72 106.27 90.00
Site moments in Bohr magnetons follow the coordinates.
Sites, in units of the cell vectors:
O 0.500 0.000 0.000  0.04
O 0.145 0.904 0.290  0.04
O 0.855 0.096 0.710  0.04
O 0.855 0.613 0.710  0.04
O 0.145 0.387 0.290  0.04
Ni 0.000 0.000 0.000  1.76
Ba 0.500 0.500 0.000  0.00
Nd 0.297 0.797 0.595  0.01
Nd 0.703 0.203 0.405  0.01

---

Need the numbers? Relative energies in meV per atom: w) 28; x) 0.